[1]
Below is a geometry-optimized Ce2DyThBi5 structure, with properties calculated at the GGA-PBE level.

Cell: 5.761 5.761 11.895 Å, 90.00 90.00 90.00°
Space group P4/mmm (No. 123)
Symmetry-distinct sites (fractional):
1 Ce 0.000 0.000 0.215
2 Dy 0.500 0.500 0.500
3 Th 0.500 0.500 0.000
4 Bi 0.000 0.000 0.500
5 Bi 0.000 0.500 0.000
6 Bi 0.500 0.500 0.257

Summary:
D(E_F) in states/eV/atom: 2.49


[2]
Below is a geometry-optimized KIrRu structure, with properties calculated at the GGA-PBE level.

Cell: 2.8002 2.8002 8.0002 Å, 90.00 90.00 120.00°
Space group P3m1 (No. 156)
Symmetry-distinct sites (fractional):
1 K 0.0000 0.0000 0.0000
2 Ir 0.3333 0.6667 0.6363
3 Ru 0.6667 0.3333 0.3744

Summary:
D(E_F) in states/eV/atom: 1.27


[3]
Below is a geometry-optimized Ba12Sr3Ac structure, with properties calculated at the GGA-PBE level.

Cell: 6.212 6.212 25.153 Å, 90.00 90.00 90.00°
Space group P4/mmm (No. 123)
Symmetry-distinct sites (fractional):
1 Ba 0.000 0.000 0.000
2 Ba 0.000 0.000 0.244
3 Ba 0.000 0.000 0.500
4 Ba 0.000 0.500 0.117
5 Ba 0.000 0.500 0.372
6 Sr 0.500 0.500 0.244
7 Sr 0.500 0.500 0.500
8 Ac 0.500 0.500 0.000

Summary:
D(E_F) in states/eV/atom: 1.60


[4]
Below is a geometry-optimized InSnGe structure, with properties calculated at the GGA-PBE level.

Cell: 5.1793 5.1793 3.1899 Å, 90.00 90.00 120.00°
Space group P3m1 (No. 156)
Symmetry-distinct sites (fractional):
1 In 0.0000 0.0000 0.0000
2 Sn 0.3333 0.6667 0.5344
3 Ge 0.6667 0.3333 0.4180

Summary:
D(E_F) in states/eV/atom: 0.76


[5]
Below is a geometry-optimized Nd3N2 structure, with properties calculated at the GGA-PBE level.

Cell: 3.6419 3.6419 28.1660 Å, 90.00 90.00 120.00°
Space group R-3m (No. 166, hexagonal axes)
Symmetry-distinct sites (fractional):
1 Nd 0.0000 0.0000 0.0000
2 Nd 0.0000 0.0000 0.2322
3 N 0.0000 0.0000 0.3895

Summary:
Raw formation energy in eV/atom: -1.087
D(E_F) in states/eV/atom: 0.60


[6]
Below is a geometry-optimized AcMnS structure, with properties calculated at the GGA-PBE level.

Cell: 4.0747 4.0747 17.8208 Å, 90.00 90.00 120.00°
Space group P6_3/mmc (No. 194)
Symmetry-distinct sites (fractional):
1 Ac 0.0000 0.0000 0.0000
2 Ac 0.0000 0.0000 0.2500
3 Mn 0.3333 0.6667 0.1214
4 S 0.3333 0.6667 0.6293

Summary:
Raw formation energy in eV/atom: -0.701
D(E_F) in states/eV/atom: 0.85


Total energy list, top to bottom, in Ry/atom: -0.3477, -0.4102, -0.1451, -0.2651, -0.5349, -0.4779